Density functional theory data (PBE) for a relaxed PaRu2 crystal.

The magnetic moment is 0.0 Bohr magnetons per cell. The total energy is -9.6242 eV/atom. As for the energy of formation from the pure elements: -27 kJ/mol of atoms.

It has space group I4/mmm (No. 139), with a = 3.719 Å, b = 3.719 Å, c = 7.951 Å, α = 90.00°, β = 90.00° and γ = 90.00°. The distinct sites, in fractional coordinates, are Pa at (0.000, 0.000, 0.000) and Ru at (0.000, 0.000, 0.309).